Below is an optimized crystal structure of Tb6DyTm, with properties calculated at the GGA-PBE level.

The total magnetic moment is 0.000 μB per atom. As for the energy above the lowest structure with this stoichiometry: 183 meV per atom. As for the formation energy: 0.20 eV per atom.

Cell lengths 6.514, 6.717, 6.889 Å; angles 118.89, 102.73, 90.16 degrees
Space group P-1 (No. 2)
Asymmetric unit:
1 Tb 0.229 0.404 0.476 (multiplicity 2)
2 Tb 0.249 0.949 0.999 (multiplicity 2)
3 Tb 0.269 0.924 0.520 (multiplicity 2)
4 Dy 0.500 0.500 0.000 (multiplicity 1)
5 Tm 0.000 0.500 0.000 (multiplicity 1)

Below is an optimized crystal structure of Tb3DyTm5, with properties calculated at the GGA-PBE level.

The total magnetic moment is 0.000 μB per atom. As for the energy above the lowest structure with this stoichiometry: 0 meV per atom. As for the formation energy: 0.13 eV per atom.

Cell lengths 17.273, 9.134, 7.129 Å; angles 90.00, 90.00, 90.00 degrees
Space group Cmcm (No. 63)
Asymmetric unit:
1 Tb 0.000 0.000 0.000 (multiplicity 4)
2 Tb 0.191 0.001 0.250 (multiplicity 8)
3 Dy 0.000 0.302 0.250 (multiplicity 4)
4 Tm 0.000 0.342 0.750 (multiplicity 4)
5 Tm 0.161 0.318 0.001 (multiplicity 16)

Below is an optimized crystal structure of TbDy2Tm7, with properties calculated at the GGA-PBE level.

The total magnetic moment is 0.000 μB per atom. As for the energy above the lowest structure with this stoichiometry: 690 meV per atom. As for the formation energy: 0.71 eV per atom.

Cell lengths 8.607, 16.950, 5.129 Å; angles 90.00, 90.00, 90.00 degrees
Space group Cmmm (No. 65)
Asymmetric unit:
1 Tb 0.000 0.000 0.000 (multiplicity 2)
2 Dy 0.000 0.299 0.500 (multiplicity 4)
3 Tm 0.000 0.196 0.000 (multiplicity 4)
4 Tm 0.000 0.500 0.500 (multiplicity 2)
5 Tm 0.179 0.109 0.500 (multiplicity 8)

Below is an optimized crystal structure of TbDyTm6, with properties calculated at the GGA-PBE level.

The total magnetic moment is 0.000 μB per atom. As for the energy above the lowest structure with this stoichiometry: 0 meV per atom. As for the formation energy: 0.02 eV per atom.

Cell lengths 6.991, 6.991, 4.940 Å; angles 90.00, 90.00, 90.00 degrees
Space group P4/mmm (No. 123)
Asymmetric unit:
1 Tb 0.000 0.000 0.000 (multiplicity 1)
2 Dy 0.500 0.500 0.000 (multiplicity 1)
3 Tm 0.000 0.500 0.000 (multiplicity 2)
4 Tm 0.250 0.250 0.500 (multiplicity 4)

Below is an optimized crystal structure of Tb12DyTm3, with properties calculated at the GGA-PBE level.

The total magnetic moment is 0.000 μB per atom. As for the formation energy: 0.02 eV per atom.

Cell lengths 5.006, 5.006, 20.009 Å; angles 90.00, 90.00, 90.00 degrees
Space group P4/mmm (No. 123)
Asymmetric unit:
1 Tb 0.000 0.000 0.000 (multiplicity 1)
2 Tb 0.000 0.000 0.249 (multiplicity 2)
3 Tb 0.000 0.000 0.500 (multiplicity 1)
4 Tb 0.000 0.500 0.125 (multiplicity 4)
5 Tb 0.000 0.500 0.374 (multiplicity 4)
6 Dy 0.500 0.500 0.500 (multiplicity 1)
7 Tm 0.500 0.500 0.000 (multiplicity 1)
8 Tm 0.500 0.500 0.250 (multiplicity 2)

Below is an optimized crystal structure of TbDy2Tm3, with properties calculated at the GGA-PBE level.

The total magnetic moment is 0.000 μB per atom. As for the energy above the lowest structure with this stoichiometry: 97 meV per atom. As for the formation energy: 0.12 eV per atom.

Cell lengths 17.505, 3.462, 13.978 Å; angles 90.00, 117.50, 90.00 degrees
Space group C2/m (No. 12)
Asymmetric unit:
1 Tb 0.062 0.000 0.144 (multiplicity 4)
2 Dy 0.157 0.000 0.968 (multiplicity 4)
3 Dy 0.181 0.500 0.384 (multiplicity 4)
4 Tm 0.040 0.500 0.711 (multiplicity 4)
5 Tm 0.099 0.000 0.526 (multiplicity 4)
6 Tm 0.239 0.000 0.793 (multiplicity 4)

Below is an optimized crystal structure of TbDy2Tm9, with properties calculated at the GGA-PBE level.

The total magnetic moment is 0.000 μB per atom. As for the energy above the lowest structure with this stoichiometry: 30 meV per atom. As for the formation energy: 0.06 eV per atom.

Cell lengths 11.0514, 11.0514, 3.4593 Å; angles 90.00, 90.00, 120.00 degrees
Space group P6/mmm (No. 191)
Asymmetric unit:
1 Tb 0.0000 0.0000 0.0000 (multiplicity 1)
2 Dy 0.3333 0.6667 0.0000 (multiplicity 2)
3 Tm 0.0000 0.5000 0.0000 (multiplicity 3)
4 Tm 0.1769 0.3538 0.5000 (multiplicity 6)

Below is an optimized crystal structure of Tb5Dy3Tm4, with properties calculated at the GGA-PBE level.

The total magnetic moment is 0.031 μB per atom. As for the energy above the lowest structure with this stoichiometry: 228 meV per atom. As for the formation energy: 0.25 eV per atom.

Cell lengths 15.980, 5.812, 9.187 Å; angles 90.00, 116.72, 90.00 degrees
Space group C2/m (No. 12)
Asymmetric unit:
1 Tb 0.000 0.000 0.000 (multiplicity 2)
2 Tb 0.075 0.500 0.700 (multiplicity 4)
3 Tb 0.174 0.500 0.386 (multiplicity 4)
4 Dy 0.000 0.500 0.000 (multiplicity 2)
5 Dy 0.208 0.000 0.229 (multiplicity 4)
6 Tm 0.080 0.000 0.439 (multiplicity 4)
7 Tm 0.213 0.000 0.877 (multiplicity 4)

Below is an optimized crystal structure of Tb9DyTm2, with properties calculated at the GGA-PBE level.

The total magnetic moment is 0.000 μB per atom. As for the energy above the lowest structure with this stoichiometry: 26 meV per atom. As for the formation energy: 0.05 eV per atom.

Cell lengths 11.1870, 11.1870, 3.4826 Å; angles 90.00, 90.00, 120.00 degrees
Space group P6/mmm (No. 191)
Asymmetric unit:
1 Tb 0.0000 0.5000 0.0000 (multiplicity 3)
2 Tb 0.1764 0.3528 0.5000 (multiplicity 6)
3 Dy 0.0000 0.0000 0.0000 (multiplicity 1)
4 Tm 0.3333 0.6667 0.0000 (multiplicity 2)

Below is an optimized crystal structure of Tb3Dy4Tm8, with properties calculated at the GGA-PBE level.

The total magnetic moment is 0.000 μB per atom. As for the energy above the lowest structure with this stoichiometry: 0 meV per atom. As for the formation energy: 0.14 eV per atom.

Cell lengths 6.8495, 6.8495, 34.8098 Å; angles 90.00, 90.00, 120.00 degrees
Space group R-3m (No. 166, hexagonal axes)
Asymmetric unit:
1 Tb 0.0000 0.5000 0.0000 (multiplicity 9)
2 Dy 0.0000 0.0000 0.0000 (multiplicity 3)
3 Dy 0.0000 0.0000 0.1635 (multiplicity 6)
4 Dy 0.0000 0.0000 0.5000 (multiplicity 3)
5 Tm 0.0000 0.0000 0.2548 (multiplicity 6)
6 Tm 0.0013 0.5007 0.2502 (multiplicity 18)